This record from Alexandria via LeMat-Bulk describes crystalline Li2V3CoO8 at its relaxed geometry. The functional is GGA+U.

Unit cell a=5.9309 b=5.9309 c=14.5698 alpha=90.00 beta=90.00 gamma=120.00
Space group R3m (No. 160, hexagonal axes)
Inequivalent atoms, fractional coordinates:
Li 0.0000 0.0000 0.0000 (multiplicity 3)
Li 0.0000 0.0000 0.3799 (multiplicity 3)
V 0.0060 0.5030 0.8804 (multiplicity 9)
Co 0.0000 0.0000 0.7600 (multiplicity 3)
O 0.0000 0.0000 0.1379 (multiplicity 3)
O 0.0000 0.0000 0.6219 (multiplicity 3)
O 0.0254 0.5127 0.1410 (multiplicity 9)
O 0.1787 0.3573 0.9484 (multiplicity 9)

Properties
crystal system = trigonal
total moment = 6.00 μB per formula unit
offset from the most stable computed form = 0.0197 eV/atom
calculated volume = 10.57 Å³ per atom
electronic total energy = -6.983 eV/atom